Arrangement i

This record from the Alexandria database describes CaThZn after structural relaxation. The functional is GGA-PBE.

Computed properties:
- N(E_F): 7.9 states/eV/cell
- Symmetry: R-3m (166)
- Spin magnetization: 0.001 μB/atom

POSCAR file:
```
CaThZn
1.0
2.456 1.418 8.939
-2.456 1.418 8.939
0.000 -2.836 8.939
Ca Th Zn
2 2 2
direct
0.124 0.124 0.124
0.876 0.876 0.876
0.366 0.366 0.366
0.634 0.634 0.634
0.251 0.251 0.251
0.749 0.749 0.749
```



Arrangement ii

This record from the Alexandria database describes CaThZn after structural relaxation. The functional is GGA-PBE.

Computed properties:
- N(E_F): 3.8 states/eV/cell
- Symmetry: I4mm (107)
- Spin magnetization: 0.003 μB/atom

POSCAR file:
```
CaThZn
1.0
-1.778 1.778 6.815
1.778 -1.778 6.815
1.778 1.778 -6.815
Ca Th Zn
1 1 1
direct
0.000 0.000 0.000
0.280 0.280 0.000
0.644 0.644 0.000
```



What is the most stable structure shown above? It is arrangement ii.